Material: Dy3Al2Zn9
Method: DFT, PBE
State: optimized geometry

a b c (Å): 8.140 8.140 8.140
angles (deg): 149.17 110.72 77.73
Positions (direct):
Dy1 0.000 0.000 0.000
Dy2 0.296 0.296 0.000
Dy3 0.704 0.704 0.000
Al1 0.308 0.500 0.808
Al2 0.692 0.500 0.192
Zn1 0.024 0.659 0.365
Zn2 0.139 0.860 0.279
Zn3 0.294 0.659 0.635
Zn4 0.419 0.140 0.279
Zn5 0.500 0.000 0.500
Zn6 0.581 0.860 0.721
Zn7 0.706 0.341 0.365
Zn8 0.861 0.140 0.721
Zn9 0.976 0.341 0.635

Output
The calculation puts the volume at 18.1 A^3/atom. For the formation energy, the calculation gives -0.351 eV/atom. Its total energy is -37.68 eV per formula unit.



Material: BaBeF2
Method: DFT, PBE
State: optimized geometry

a b c (Å): 6.659 6.659 6.659
angles (deg): 90.00 90.00 90.00
Positions (direct):
Ba1 0.000 0.000 0.000
Ba2 0.000 0.500 0.500
Ba3 0.500 0.000 0.500
Ba4 0.500 0.500 0.000
Be1 0.000 0.000 0.500
Be2 0.000 0.500 0.000
Be3 0.500 0.000 0.000
Be4 0.500 0.500 0.500
F1 0.250 0.250 0.250
F2 0.250 0.250 0.750
F3 0.250 0.750 0.250
F4 0.250 0.750 0.750
F5 0.750 0.250 0.250
F6 0.750 0.250 0.750
F7 0.750 0.750 0.250
F8 0.750 0.750 0.750

Output
The calculation puts the volume at 18.5 A^3/atom. Its total energy is -16.57 eV per formula unit.